# Th8TcPb2 | Alexandria | PBE-GGA | relaxed
# * DFT total energy: -7.05 eV per atom
# * DFT formation energy: -0.039 eV per atom
data_Th8TcPb2
_symmetry_space_group_name_H-M 'C 1 2/m 1'
_symmetry_Int_Tables_number 12
_cell_length_a 18.566
_cell_length_b 5.618
_cell_length_c 6.852
_cell_angle_alpha 90.00
_cell_angle_beta 108.93
_cell_angle_gamma 90.00
loop_
_symmetry_equiv_pos_as_xyz
'x,y,z'
'-x,-y,-z'
'-x,y,-z'
'x,-y,z'
'x+1/2,y+1/2,z'
'-x+1/2,-y+1/2,-z'
'-x+1/2,y+1/2,-z'
'x+1/2,-y+1/2,z'
loop_
_atom_site_label
_atom_site_fract_x
_atom_site_fract_y
_atom_site_fract_z
Th1 0.001 0.000 0.235
Th2 0.090 0.500 0.744
Th3 0.140 0.500 0.299
Th4 0.221 0.000 0.120
Tc1 0.000 0.500 0.000
Pb1 0.171 0.000 0.606